DFT (GGA-PBE) results for a geometry-optimized CeGeBr structure.

Crystal system   monoclinic
E_form (uncorrected)   -0.79 eV/atom

Cell: 4.0599 8.3617 7.2212 Å, 114.93 90.00 90.00°
Site moments in Bohr magnetons follow the coordinates.
Positions (direct):
Br 0.2500 0.6411 0.8232  -0.01
Ge 0.7500 0.0895 0.5676  0.00
Br 0.7500 0.3589 0.1768  -0.01
Ge 0.2500 0.9105 0.4324  0.00
Ce 0.7500 0.7037 0.5474  1.16
Ce 0.2500 0.2963 0.4526  1.16



DFT (GGA-PBE) results for a geometry-optimized K2MgP2S6 structure.

Crystal system   trigonal
E_form (uncorrected)   -0.75 eV/atom

Cell: 6.7884 6.7884 7.8233 Å, 64.29 64.29 60.00°
Positions (direct):
Mg 0.0000 0.0000 0.0000
S 0.7468 0.2399 0.2664
S 0.2399 0.7468 0.2664
P 0.5578 0.5578 0.3265
S 0.2532 0.2532 0.7336
P 0.4422 0.4422 0.6735
S 0.7601 0.2532 0.7336
S 0.2532 0.7601 0.7336
K 0.2293 0.2293 0.3121
K 0.7707 0.7707 0.6879
S 0.7468 0.7468 0.2664



DFT (GGA-PBE) results for a geometry-optimized CrCu3C structure.

Formation enthalpy at 0 K   0.54 eV per atom
Crystal system   cubic

Cell: 3.9128 3.9128 3.9128 Å, 90.00 90.00 90.00°
Site moments in Bohr magnetons follow the coordinates.
Positions (direct):
Cu 0.0000 0.5000 0.0000  0.02
Cu 0.0000 0.0000 0.5000  0.05
C 0.0000 0.0000 0.0000  0.04
Cr 0.5000 0.5000 0.5000  3.80
Cu 0.5000 0.0000 0.0000  0.06



DFT (GGA-PBE) results for a geometry-optimized OsRu structure.

Formation enthalpy at 0 K   1.00 eV per atom
Crystal system   hexagonal

Cell: 3.8733 5.1680 3.8733 Å, 90.00 120.00 90.00°
Positions (direct):
Ru 0.6667 0.2500 0.3333
Ru 0.3333 0.7500 0.6667
Os 0.0000 0.0000 0.0000
Os 0.0000 0.5000 0.0000



DFT (GGA-PBE) results for a geometry-optimized MnBe3P structure.

Formation enthalpy at 0 K   1.08 eV per atom
Crystal system   cubic

Cell: 3.9839 3.9839 3.9839 Å, 90.00 90.00 90.00°
Site moments in Bohr magnetons follow the coordinates.
Positions (direct):
Be 0.5000 0.0000 0.0000  0.00
Mn 0.5000 0.5000 0.5000  0.18
Be 0.0000 0.5000 0.0000  0.00
P 0.0000 0.0000 0.0000  0.06
Be 0.0000 0.0000 0.5000  0.00



DFT (GGA-PBE) results for a geometry-optimized BaSi4Pd2 structure.

Crystal system   tetragonal
E_form (uncorrected)   -0.44 eV/atom

Cell: 6.1229 5.8446 5.8444 Å, 74.07 58.41 58.41°
Positions (direct):
Pd 0.2500 0.5000 0.5000
Si 0.0000 0.7612 0.2388
Ba 0.5000 0.0000 0.0000
Pd 0.7500 0.5000 0.5000
Si 0.2388 0.7612 0.7612
Si 0.0000 0.2388 0.7612
Si 0.7612 0.2388 0.2388



DFT (GGA-PBE) results for a geometry-optimized AgSe3Br structure.

Crystal system   cubic
E_form (uncorrected)   0.74 eV/atom

Cell: 5.1141 5.1141 5.1141 Å, 90.00 90.00 90.00°
Positions (direct):
Se 0.0000 0.5000 0.0000
Ag 0.0000 0.0000 0.0000
Se 0.0000 0.0000 0.5000
Br 0.5000 0.5000 0.5000
Se 0.5000 0.0000 0.0000



DFT (GGA-PBE) results for a geometry-optimized LiDyScMn structure.

Formation enthalpy at 0 K   0.12 eV per atom
Crystal system   cubic

Cell: 4.8671 4.8671 4.8671 Å, 60.00 60.00 60.00°
Site moments in Bohr magnetons follow the coordinates.
Positions (direct):
Dy 0.5000 0.5000 0.5000  -0.19
Sc 0.0000 0.0000 0.0000  -0.30
Li 0.7500 0.7500 0.7500  -0.07
Mn 0.2500 0.2500 0.2500  3.03



DFT (GGA-PBE) results for a geometry-optimized CaLaDy4Se8 structure.

Crystal system   trigonal
E_form (uncorrected)   -1.81 eV/atom

Cell: 8.4648 8.4648 8.5908 Å, 60.48 60.48 60.00°
Positions (direct):
La 0.0015 0.0015 0.9954
Dy 0.0019 0.4940 0.5022
Dy 0.6263 0.6263 0.1210
Se 0.2475 0.2475 0.7281
Se 0.2398 0.2398 0.2806
Se 0.2475 0.7769 0.7281
Se 0.7769 0.2475 0.7281
Ca 0.3734 0.3734 0.8798
Se 0.7500 0.2309 0.2690
Se 0.2309 0.7500 0.2690
Dy 0.0019 0.0019 0.5022
Se 0.7500 0.7500 0.2690
Dy 0.4940 0.0019 0.5022
Se 0.7582 0.7582 0.7253



DFT (GGA-PBE) results for a geometry-optimized TbDy6Er4 structure.

Formation enthalpy at 0 K   0.13 eV per atom
Crystal system   orthorhombic

Cell: 5.6563 5.5500 25.4381 Å, 90.00 90.00 120.64°
Positions (direct):
Dy 0.1402 0.2803 0.3186
Dy 0.1402 0.2803 0.1814
Er 0.4699 0.9398 0.1215
Dy 0.5000 0.0000 0.5000
Dy 0.5256 0.0513 0.7500
Dy 0.1915 0.3830 0.8967
Er 0.5301 0.0602 0.8785
Dy 0.5000 0.0000 0.0000
Er 0.8438 0.6875 0.9574
Er 0.5301 0.0602 0.6215
Dy 0.8598 0.7197 0.6814
Dy 0.8598 0.7197 0.8186
Er 0.1562 0.3125 0.4574
Er 0.8438 0.6875 0.5426
Dy 0.8085 0.6170 0.1033
Er 0.4699 0.9398 0.3785
Dy 0.1915 0.3830 0.6033
Dy 0.8085 0.6170 0.3967
Er 0.1562 0.3125 0.0426
Tb 0.1910 0.3821 0.7500
Dy 0.4744 0.9487 0.2500
Tb 0.8090 0.6179 0.2500



no.,mass density (g/cm3)
1,4.37
2,2.19
3,7.06
4,14.41
5,2.97
6,5.06
7,5.27
8,5.49
9,5.53
10,8.71